The following is a PBE calculation of a relaxed structure of La2EuPt, from Alexandria.

abc: 4.1861 4.1861 10.0600
angles: 77.99 77.99 60.00
Last column: nearest neighbours and their distance in Å.
Element x y z (fractional)
Eu 0.5000 0.5000 0.5000  6 La 4.03, 6 Eu 4.19
Pt 0.0000 0.0000 0.0000  6 La 2.93
La 0.2769 0.2769 0.1692  3 Pt 2.93
La 0.7231 0.7231 0.8308  3 Pt 2.93

Properties
Energy of formation in meV/atom: -561
Magnetic moment in μB per atom: 2.015
DOS at the Fermi energy in states/eV/cell: 4.1
Energy above the most stable polymorph in this dataset in meV per atom: 0